Record 1
PBE Dy5TmIr6, relaxed; size of the total moment = 0.000 μB per cell; electronic total energy = -0.2776 hartree per atom; ΔH_f (0 K) = -0.834 eV per atom
1.0
2.361 -7.092 0.000
2.361 7.092 0.000
0.000 0.000 7.148
Dy Tm Ir
5 1 6
direct
0.000 0.000 0.000
0.333 0.667 0.000
0.334 0.666 0.500
0.666 0.334 0.500
0.667 0.333 0.000
0.000 0.000 0.500
0.166 0.834 0.251
0.166 0.834 0.749
0.500 0.500 0.252
0.500 0.500 0.748
0.834 0.166 0.251
0.834 0.166 0.749


Record 2
PBE DyTm2Ir, relaxed; size of the total moment = 0.001 μB per cell; electronic total energy = -0.2225 hartree per atom; ΔH_f (0 K) = -0.452 eV per atom
1.0
3.431 0.000 0.000
0.000 3.431 0.000
0.000 0.000 8.721
Dy Tm Ir
1 2 1
direct
0.000 0.000 0.000
0.500 0.500 0.314
0.500 0.500 0.686
0.000 0.000 0.500


Record 3
PBE Dy3TmIr3, relaxed; size of the total moment = 0.000 μB per cell; electronic total energy = -0.2625 hartree per atom; ΔH_f (0 K) = -0.733 eV per atom
1.0
4.962 -4.891 0.000
4.962 4.891 0.000
-0.005 0.000 6.573
Dy Tm Ir
6 2 6
direct
0.245 0.245 0.000
0.246 0.754 0.000
0.251 0.749 0.500
0.749 0.251 0.500
0.754 0.246 0.000
0.755 0.755 0.000
0.238 0.238 0.500
0.762 0.762 0.500
0.000 0.000 0.250
0.000 0.000 0.750
0.000 0.500 0.252
0.000 0.500 0.748
0.500 0.000 0.252
0.500 0.000 0.748


Record 4
PBE DyTmIr4, relaxed; size of the total moment = 0.000 μB per cell; electronic total energy = -0.3028 hartree per atom; ΔH_f (0 K) = -0.821 eV per atom
1.0
0.000 3.779 3.779
3.779 0.000 3.779
3.779 3.779 0.000
Dy Tm Ir
1 1 4
direct
0.000 0.000 0.000
0.250 0.250 0.250
0.125 0.625 0.625
0.625 0.125 0.625
0.625 0.625 0.125
0.625 0.625 0.625


Record 5
PBE DyTm2Ir, relaxed; size of the total moment = 0.000 μB per cell; electronic total energy = -0.2285 hartree per atom; ΔH_f (0 K) = -0.616 eV per atom
1.0
7.197 0.000 0.000
0.000 9.100 0.000
0.000 0.000 6.350
Dy Tm Ir
4 8 4
direct
0.033 0.250 0.128
0.467 0.750 0.628
0.533 0.250 0.372
0.967 0.750 0.872
0.176 0.062 0.673
0.176 0.438 0.673
0.324 0.562 0.173
0.324 0.938 0.173
0.676 0.062 0.827
0.676 0.438 0.827
0.824 0.562 0.327
0.824 0.938 0.327
0.116 0.750 0.453
0.384 0.250 0.953
0.616 0.750 0.047
0.884 0.250 0.547


Record 6
PBE DyTm2Ir, relaxed; size of the total moment = 0.008 μB per cell; electronic total energy = -0.2112 hartree per atom; ΔH_f (0 K) = -0.145 eV per atom
1.0
1.845 1.065 10.411
-1.845 1.065 10.411
0.000 -2.131 10.411
Dy Tm Ir
1 2 1
direct
0.000 0.000 0.000
0.113 0.113 0.113
0.887 0.887 0.887
0.500 0.500 0.500


Record 7
PBE DyTm3Ir2, relaxed; size of the total moment = 0.000 μB per cell; electronic total energy = -0.2440 hartree per atom; ΔH_f (0 K) = -0.684 eV per atom
1.0
-3.345 6.743 3.480
3.345 -6.743 3.480
3.345 6.743 -3.480
Dy Tm Ir
2 6 4
direct
0.000 0.000 0.000
0.500 0.500 0.000
0.015 0.250 0.765
0.250 0.750 0.500
0.485 0.250 0.235
0.515 0.750 0.765
0.750 0.250 0.500
0.985 0.750 0.235
0.139 0.712 0.851
0.361 0.212 0.573
0.639 0.788 0.427
0.861 0.288 0.149


Record 8
PBE Dy4Tm3Ir4, relaxed; size of the total moment = 0.000 μB per cell; electronic total energy = -0.2499 hartree per atom; ΔH_f (0 K) = -0.685 eV per atom
1.0
-1.885 4.308 7.977
1.885 -4.308 7.977
1.885 4.308 -7.977
Dy Tm Ir
4 3 4
direct
0.023 0.834 0.190
0.356 0.166 0.190
0.644 0.834 0.810
0.977 0.166 0.810
0.000 0.500 0.500
0.401 0.401 0.000
0.599 0.599 0.000
0.253 0.753 0.500
0.287 0.000 0.287
0.713 0.000 0.713
0.747 0.247 0.500